The following is a PBE-GGA calculation of AlSi2Ni after structural relaxation, from Alexandria via LeMat-Bulk.

calculated total energy = -20.61 eV/f.u.
M_tot = 0.00 μB/cell

a = 2.9065 Å, b = 2.9065 Å, c = 7.5248 Å
α = 90.00°, β = 90.00°, γ = 120.00°
With the nearest neighbours (Å) after each atom.
Space group P-6m2 (No. 187)
Asymmetric unit:
Al: 0.0000 0.0000 0.0000 [1 per cell]  6 Si 2.66, 6 Al 2.91
Si: 0.3333 0.6667 0.2737 [2 per cell]  3 Ni 2.39, 3 Al 2.66
Ni: 0.6667 0.3333 0.5000 [1 per cell]  6 Si 2.39